1.
The following is a DFT calculation (PBE-GGA) of Sr2YReO6 after structural relaxation.

Summary:
SG: No. 225
Crystal system: cubic
M_tot, μB/f.u.: 2.001

Geometry as POSCAR:
```
Sr2YReO6
1.0
0.000 4.126 4.126
4.126 0.000 4.126
4.126 4.126 0.000
Sr Y Re O
2 1 1 6
Cartesian
2.063 2.063 2.063 Sr
6.189 6.189 6.189 Sr
0.000 0.000 0.000 Y
4.126 4.126 4.126 Re
4.126 4.126 2.179 O
4.126 2.179 4.126 O
6.073 4.126 4.126 O
2.179 4.126 4.126 O
4.126 6.073 4.126 O
4.126 4.126 6.073 O
```


2.
The following is a DFT calculation (PBE-GGA) of SrZn3Re4O12 after structural relaxation.

Summary:
SG: No. 204
Crystal system: cubic
M_tot, μB/f.u.: 6.601

Geometry as POSCAR:
```
SrZn3Re4O12
1.0
-3.821 3.821 3.821
3.821 -3.821 3.821
3.821 3.821 -3.821
Sr Zn Re O
1 3 4 12
Cartesian
0.000 0.000 0.000 Sr
3.821 0.000 0.000 Zn
0.000 3.821 0.000 Zn
0.000 0.000 3.821 Zn
1.910 1.910 -1.910 Re
1.910 -1.910 1.910 Re
-1.910 1.910 1.910 Re
1.910 1.910 1.910 Re
3.821 -1.490 2.416 O
2.331 1.405 0.000 O
5.311 1.405 0.000 O
2.416 3.821 -1.490 O
1.405 0.000 2.331 O
0.000 2.331 1.405 O
3.821 1.490 2.416 O
2.416 3.821 1.490 O
1.405 0.000 5.311 O
-1.490 2.416 3.821 O
1.490 2.416 3.821 O
0.000 5.311 1.405 O
```


3.
The following is a DFT calculation (PBE-GGA) of Sr2ZnReO6 after structural relaxation.

Summary:
SG: No. 14
Crystal system: monoclinic
M_tot, μB/f.u.: 1.000

Geometry as POSCAR:
```
Sr2ZnReO6
1.0
5.629 0.000 0.000
0.000 5.586 0.000
-5.625 0.000 7.914
Sr Zn Re O
4 2 2 12
Cartesian
-0.012 0.104 1.984 Sr
-2.824 2.690 5.941 Sr
2.829 2.897 1.973 Sr
0.016 5.483 5.930 Sr
2.815 0.000 0.000 Zn
0.002 2.793 3.957 Zn
-2.812 0.000 3.957 Re
0.000 2.793 0.000 Re
-4.417 1.303 7.687 O
-1.605 1.490 3.730 O
-4.136 4.003 7.683 O
-1.323 4.376 3.726 O
-2.496 0.021 5.861 O
0.317 2.772 1.904 O
-0.312 2.814 6.010 O
2.500 5.566 2.053 O
1.328 1.210 4.188 O
4.140 1.583 0.231 O
1.609 4.096 4.184 O
4.422 4.283 0.227 O
```


Number 1: VASP energy -0.5706 Ry per atom. Number 2: VASP energy -0.5207 Ry per atom. Number 3: VASP energy -0.5005 Ry per atom.